# 1
## MgBe2InI (PBE)

Data for MgBe2InI after structural relaxation.

## Properties
raw total energy = -1.89 eV/atom
Fermi-level density of states = 2.06 states/eV per cell
formation energy from raw total energies = 773 meV/atom

Lattice parameters (Å, degrees): 4.658 4.658 6.566 90.00 90.00 90.00
Space group P4/mmm (No. 123)
Inequivalent atoms, fractional coordinates:
Mg 0.000 0.000 0.000 (multiplicity 1)
Be 0.000 0.500 0.500 (multiplicity 2)
In 0.500 0.500 0.500 (multiplicity 1)
I 0.500 0.500 0.000 (multiplicity 1)

# 2
## BeInI2N (PBE)

Data for BeInI2N after structural relaxation.

## Properties
raw total energy = -3.40 eV/atom
Fermi-level density of states = 1.35 states/eV per cell
formation energy from raw total energies = 178 meV/atom
excess energy over the best structure of this formula in the dataset = 0.000 eV per atom

Lattice parameters (Å, degrees): 6.811 6.811 3.092 90.00 90.00 90.00
Space group P4/mmm (No. 123)
Inequivalent atoms, fractional coordinates:
Be 0.000 0.000 0.000 (multiplicity 1)
In 0.500 0.500 0.500 (multiplicity 1)
I 0.000 0.500 0.000 (multiplicity 2)
N 0.000 0.000 0.500 (multiplicity 1)

Which value of formation energy from raw total energies does entry 2 give? 178 meV/atom

What is the raw total energy in the first record? -1.89 eV/atom